# CaCuH8Pt2

Crystalline CaCuH8Pt2 at its relaxed geometry (GGA-PBE, Alexandria).

Calculated values
The density comes out at 7578 kg/m³. The symmetry is R-3 (148).

Cell lengths 4.6870, 4.6870, 6.3822 Å; angles 68.46, 68.46, 60.00 degrees
Fractional coordinates of all 12 atoms:
Ca 0.5000 0.5000 0.5000
Cu 0.0000 0.0000 0.0000
H 0.1837 0.1837 0.4490
H 0.6471 0.2402 0.1861
H 0.8163 0.8163 0.5510
H 0.9266 0.6471 0.1861
H 0.0734 0.3529 0.8139
H 0.2402 0.9266 0.1861
H 0.7598 0.0734 0.8139
H 0.3529 0.7598 0.8139
Pt 0.2764 0.2764 0.1709
Pt 0.7236 0.7236 0.8291

=====

# KRb3Tl3

Crystalline KRb3Tl3 at its relaxed geometry (GGA-PBE, Alexandria).

Calculated values
The formation energy is -0.29 eV per formula unit. The density comes out at 4062 kg/m³. The symmetry is R-3m (166).

Cell lengths 9.1643, 9.1643, 11.5023 Å; angles 66.52, 66.52, 60.00 degrees
Fractional coordinates of all 14 atoms:
K 0.5669 0.5669 0.2993
K 0.4331 0.4331 0.7007
Rb 0.4023 0.8954 0.8068
Rb 0.8954 0.8955 0.8068
Rb 0.8955 0.4023 0.8068
Rb 0.1045 0.5977 0.1932
Rb 0.1046 0.1045 0.1932
Rb 0.5977 0.1046 0.1932
Tl 0.2875 0.2875 0.5016
Tl 0.9235 0.2875 0.5016
Tl 0.2875 0.9235 0.5016
Tl 0.7125 0.0765 0.4984
Tl 0.0765 0.7125 0.4984
Tl 0.7125 0.7125 0.4984

=====

# YMg2Co

Crystalline YMg2Co at its relaxed geometry (GGA-PBE, Alexandria).

Calculated values
The formation energy is 0.86 eV per formula unit. The density comes out at 4102 kg/m³. The symmetry is Fm-3m (225).

Cell lengths 4.8268, 4.8268, 4.8268 Å; angles 60.00, 60.00, 60.00 degrees
Fractional coordinates of all 4 atoms:
Y 0.5000 0.5000 0.5000
Mg 0.2500 0.2500 0.2500
Mg 0.7500 0.7500 0.7500
Co 0.0000 0.0000 0.0000

=====

The records above give, respectively, total energy values of -46.03 -22.78 -15.90 eV per cell.